Model P:
{"formula": "SrTi3N", "functional": "GGA-PBE", "state": "relaxed", "cell": [[4.404, 0.000, 0.000], [0.000, 4.404, 0.000], [0.000, 0.000, 4.404]], "species": ["Ti", "N", "Ti", "Sr", "Ti"], "frac_coords": [[0.000, 0.500, 0.000], [0.000, 0.000, 0.000], [0.500, 0.000, 0.000], [0.500, 0.500, 0.500], [0.000, 0.000, 0.500]], "n_ef_per_ev_atom": 1.177, "space_group": "Pm-3m, No. 221"}

---

Model Q:
{"formula": "SrTi3N", "functional": "GGA-PBE", "state": "relaxed", "cell": [[4.689, 0.000, 0.000], [0.000, 4.689, 0.000], [0.000, 0.000, 4.689]], "species": ["Ti", "Sr", "Ti", "N", "Ti"], "frac_coords": [[0.000, 0.500, 0.000], [0.000, 0.000, 0.000], [0.000, 0.000, 0.500], [0.500, 0.500, 0.500], [0.500, 0.000, 0.000]], "n_ef_per_ev_atom": 0.799, "space_group": "Pm-3m, No. 221"}

---

Of them, the most stable is model P and the least stable is model Q.

---

Model P:
{"formula": "Sr6Tl2N", "functional": "GGA-PBE", "state": "relaxed", "cell": [[6.632, 0.002, 3.828], [2.207, 6.254, 3.828], [0.001, 0.001, 7.659]], "species": ["Sr", "Sr", "Sr", "N", "Tl", "Sr", "Sr", "Tl", "Sr"], "frac_coords": [[0.738, 0.263, 0.262], [0.262, 0.737, 0.738], [0.738, 0.738, 0.263], [0.500, 0.500, 0.500], [0.250, 0.250, 0.250], [0.263, 0.738, 0.262], [0.262, 0.262, 0.737], [0.750, 0.750, 0.750], [0.737, 0.262, 0.738]], "n_ef_per_ev_atom": 1.153, "space_group": "C2/m, No. 12"}

---

Model Q:
{"formula": "Sr6Tl2N", "functional": "GGA-PBE", "state": "relaxed", "cell": [[3.927, 0.000, 0.000], [0.000, 10.715, 0.000], [0.000, -5.357, 8.067]], "species": ["Tl", "Sr", "Sr", "N", "Sr", "Tl", "Sr", "Sr", "Sr"], "frac_coords": [[0.000, 0.312, 0.648], [0.000, 0.008, 0.198], [0.500, 0.439, 0.448], [0.500, 0.855, 0.000], [0.500, 0.629, 0.000], [0.000, 0.664, 0.352], [0.000, 0.810, 0.802], [0.500, 0.991, 0.552], [0.000, 0.293, 0.000]], "n_ef_per_ev_atom": 0.615, "space_group": "Amm2, No. 38"}

---

Of them, the most stable is model P and the least stable is model Q.

---

Model P:
{"formula": "SrTlN2", "functional": "GGA-PBE", "state": "relaxed", "cell": [[-3.581, 1.264, 2.389], [-2.648, 3.296, -1.500], [-4.130, -0.938, -1.482]], "species": ["N", "N", "Sr", "Tl"], "frac_coords": [[0.750, 0.750, 0.750], [0.250, 0.250, 0.250], [0.000, 0.000, 0.000], [0.500, 0.500, 0.500]], "n_ef_per_ev_atom": 0.628, "space_group": "Fm-3m, No. 225"}

---

Model Q:
{"formula": "SrTlN2", "functional": "GGA-PBE", "state": "relaxed", "cell": [[-3.040, -0.687, 5.444], [-2.400, -5.430, -2.025], [0.255, -4.905, 3.137]], "species": ["Sr", "N", "N", "N", "Sr", "Tl", "N", "Tl"], "frac_coords": [[0.250, 0.750, 0.500], [0.375, 0.336, 0.750], [0.664, 0.125, 0.250], [0.875, 0.914, 0.750], [0.500, 0.500, 0.000], [0.000, 0.000, 0.000], [0.086, 0.625, 0.250], [0.750, 0.250, 0.500]], "n_ef_per_ev_atom": 0.593, "space_group": "I-42d, No. 122"}

---

Model R:
{"formula": "SrTlN2", "functional": "GGA-PBE", "state": "relaxed", "cell": [[2.166, 0.000, 6.894], [-1.083, 1.876, 6.894], [-1.083, -1.876, 6.894]], "species": ["N", "N", "Sr", "Tl"], "frac_coords": [[0.886, 0.886, 0.886], [0.114, 0.114, 0.114], [0.000, 0.000, 0.000], [0.500, 0.500, 0.500]], "n_ef_per_ev_atom": 0.544, "space_group": "R-3m, No. 166"}

---

Of them, the most stable is model Q and the least stable is model R.

---

Model P:
{"formula": "SrVN", "functional": "GGA-PBE", "state": "relaxed", "cell": [[5.386, 0.000, -0.003], [0.000, 3.296, 0.000], [-1.828, 0.000, 12.330]], "species": ["Sr", "Sr", "V", "N", "V", "V", "Sr", "V", "Sr", "N", "N", "N"], "frac_coords": [[0.020, 0.500, 0.106], [0.020, 0.000, 0.606], [0.512, 0.000, 0.002], [0.090, 0.000, 0.292], [0.107, 0.000, 0.874], [0.512, 0.500, 0.502], [0.590, 0.500, 0.794], [0.107, 0.500, 0.374], [0.590, 0.000, 0.294], [0.807, 0.500, 0.447], [0.090, 0.500, 0.792], [0.807, 0.000, 0.947]], "n_ef_per_ev_atom": 0.798, "space_group": "Cm, No. 8"}

---

Model Q:
{"formula": "SrVN", "functional": "GGA-PBE", "state": "relaxed", "cell": [[4.158, 0.000, 0.000], [0.000, 10.746, 0.000], [-2.391, 0.000, 5.043]], "species": ["N", "N", "V", "Sr", "N", "Sr", "V", "V", "Sr", "Sr", "V", "N"], "frac_coords": [[0.000, 0.601, 0.500], [0.000, 0.456, 0.000], [0.819, 0.095, 0.623], [0.500, 0.945, 0.000], [0.000, 0.101, 0.000], [0.500, 0.778, 0.500], [0.181, 0.595, 0.877], [0.181, 0.095, 0.377], [0.500, 0.445, 0.500], [0.500, 0.278, 0.000], [0.819, 0.595, 0.123], [0.000, 0.956, 0.500]], "n_ef_per_ev_atom": 0.866, "space_group": "C2, No. 5"}

---

Of them, the most stable is model Q and the least stable is model P.

---

Model P:
{"formula": "Sr3VN3", "functional": "GGA-PBE", "state": "relaxed", "cell": [[7.761, 0.000, 0.000], [-3.880, 6.721, 0.000], [0.000, 0.000, 5.395]], "species": ["N", "Sr", "Sr", "Sr", "N", "Sr", "N", "N", "Sr", "N", "V", "N", "V", "Sr"], "frac_coords": [[0.586, 0.711, 0.250], [0.905, 0.630, 0.250], [0.370, 0.274, 0.250], [0.095, 0.370, 0.750], [0.289, 0.876, 0.250], [0.726, 0.095, 0.250], [0.711, 0.124, 0.750], [0.876, 0.586, 0.750], [0.630, 0.726, 0.750], [0.414, 0.289, 0.750], [0.667, 0.333, 0.750], [0.124, 0.414, 0.250], [0.333, 0.667, 0.250], [0.274, 0.905, 0.750]], "n_ef_per_ev_atom": 0.166, "space_group": "P6_3/m, No. 176"}

---

Model Q:
{"formula": "Sr3VN3", "functional": "GGA-PBE", "state": "relaxed", "cell": [[-3.148, -0.396, -1.583], [1.490, -16.744, 1.228], [-4.909, 0.274, 9.694]], "species": ["N", "N", "N", "V", "V", "V", "N", "N", "Sr", "Sr", "Sr", "N", "N", "Sr", "Sr", "Sr", "N", "V", "N", "Sr", "Sr", "Sr", "N", "N", "N", "Sr", "Sr", "Sr"], "frac_coords": [[0.250, 0.128, 0.853], [0.250, 0.628, 0.647], [0.750, 0.372, 0.353], [0.750, 0.470, 0.298], [0.250, 0.030, 0.798], [0.750, 0.970, 0.202], [0.750, 0.461, 0.134], [0.250, 0.039, 0.634], [0.250, 0.329, 0.195], [0.750, 0.929, 0.607], [0.250, 0.383, 0.518], [0.750, 0.872, 0.147], [0.750, 0.961, 0.366], [0.250, 0.071, 0.393], [0.750, 0.171, 0.695], [0.750, 0.429, 0.893], [0.750, 0.986, 0.843], [0.250, 0.530, 0.702], [0.250, 0.539, 0.866], [0.750, 0.671, 0.805], [0.250, 0.571, 0.107], [0.750, 0.617, 0.482], [0.250, 0.014, 0.157], [0.750, 0.486, 0.657], [0.250, 0.514, 0.343], [0.250, 0.883, 0.982], [0.250, 0.829, 0.305], [0.750, 0.117, 0.018]], "n_ef_per_ev_atom": 0.415, "space_group": "Pnma, No. 62"}

---

Of them, the most stable is model P and the least stable is model Q.

---

Model P:
{"formula": "SrVW2N", "functional": "GGA-PBE", "state": "relaxed", "cell": [[4.399, 0.000, 0.000], [0.000, 6.099, 0.000], [0.000, 0.000, 4.399]], "species": ["V", "N", "W", "W", "Sr"], "frac_coords": [[0.000, 0.000, 0.000], [0.500, 0.500, 0.500], [0.500, 0.000, 0.000], [0.000, 0.000, 0.500], [0.000, 0.500, 0.000]], "n_ef_per_ev_atom": 1.137, "space_group": "P4/mmm, No. 123"}

---

Model Q:
{"formula": "SrVW2N", "functional": "GGA-PBE", "state": "relaxed", "cell": [[-3.307, 2.096, -1.701], [0.609, -2.121, -3.799], [-2.633, -3.095, 1.306]], "species": ["N", "W", "V", "Sr", "W"], "frac_coords": [[0.000, 0.000, 0.000], [0.000, 0.000, 0.500], [0.000, 0.500, 0.000], [0.500, 0.500, 0.500], [0.500, 0.000, 0.000]], "n_ef_per_ev_atom": 0.862, "space_group": "P4/mmm, No. 123"}

---

Of them, the most stable is model Q and the least stable is model P.